# Li5Ni7O12 (PBE with a Hubbard U, relaxed)
data_Li5Ni7O12
_symmetry_space_group_name_H-M 'P 1'
_symmetry_Int_Tables_number 1
_symmetry_space_group_name_Hall 'P 1'
_cell_length_a 5.0427
_cell_length_b 5.0427
_cell_length_c 9.6678
_cell_angle_alpha 94.79
_cell_angle_beta 94.79
_cell_angle_gamma 119.43
loop_
_atom_site_label
_atom_site_fract_x
_atom_site_fract_y
_atom_site_fract_z
Li1 0.0000 0.0000 0.0000
Li2 0.2401 0.2554 0.7560
Li3 0.4122 0.0751 0.2473
Li4 0.7446 0.7599 0.2440
Li5 0.9249 0.5878 0.7527
Ni1 0.0836 0.4138 0.2471
Ni2 0.1674 0.8326 0.5000
Ni3 0.3326 0.6674 0.0000
Ni4 0.5015 0.4985 0.5000
Ni5 0.5863 0.9164 0.7529
Ni6 0.6691 0.3309 0.0000
Ni7 0.8346 0.1654 0.5000
O1 0.0542 0.6926 0.1172
O2 0.1060 0.1271 0.3825
O3 0.2238 0.5541 0.6234
O4 0.3074 0.9458 0.8828
O5 0.3826 0.4009 0.1148
O6 0.4459 0.7762 0.3766
O7 0.5607 0.2024 0.6146
O8 0.5991 0.6174 0.8852
O9 0.7075 0.0673 0.1221
O10 0.7976 0.4393 0.3854
O11 0.8729 0.8940 0.6175
O12 0.9327 0.2925 0.8779
# Calculated total energy   -4.84 eV/atom
# Space group   C2 (5)
# Magnetization   0.46 μB per atom